# 1
Crystalline PuCuRe at its relaxed geometry. Source: OQMD, functional GGA-PBE.

Lattice parameters (Å, degrees): 4.3221 4.3221 4.3221 60.00 60.00 60.00
Element x y z (fractional)
1 Pu 0.0000 0.0000 0.0000
2 Cu 0.7500 0.7500 0.7500
3 Re 0.2500 0.2500 0.2500

Values from the calculation:
For the total energy, the calculation gives -9.0363 eV/atom. Its energy above the most stable polymorph in this dataset is 117 kJ/mol of formula units. The value obtained for the total magnetization is 3.59 μB/cell. The calculation puts the formation energy at 1.05 eV/atom.


# 2
Crystalline PuTlCuSe2S at its relaxed geometry. Source: OQMD, functional GGA-PBE.

Lattice parameters (Å, degrees): 8.3098 4.0391 9.9813 90.00 109.36 90.00
Element x y z (fractional)
1 Pu 0.1837 0.2500 0.1496
2 Pu 0.8163 0.7500 0.8504
3 Tl 0.2504 0.7500 0.7162
4 Tl 0.7496 0.2500 0.2838
5 Cu 0.4236 0.7500 0.4057
6 Cu 0.5764 0.2500 0.5943
7 Se 0.2695 0.2500 0.4472
8 Se 0.4248 0.7500 0.1578
9 Se 0.5752 0.2500 0.8422
10 Se 0.7305 0.7500 0.5528
11 S 0.0368 0.2500 0.8653
12 S 0.9632 0.7500 0.1347

Values from the calculation:
For the total energy, the calculation gives -6.1155 eV/atom. The value obtained for the total magnetization is 8.07 μB/cell.


# 3
Crystalline PuTlCuTe2Se at its relaxed geometry. Source: OQMD, functional GGA-PBE.

Lattice parameters (Å, degrees): 8.7565 4.1786 10.5524 90.00 109.85 90.00
Element x y z (fractional)
1 Pu 0.1811 0.2500 0.1485
2 Pu 0.8189 0.7500 0.8515
3 Tl 0.2385 0.7500 0.7193
4 Tl 0.7615 0.2500 0.2807
5 Cu 0.4225 0.7500 0.4052
6 Cu 0.5775 0.2500 0.5948
7 Te 0.2632 0.2500 0.4534
8 Te 0.4377 0.7500 0.1581
9 Te 0.5623 0.2500 0.8419
10 Te 0.7368 0.7500 0.5466
11 Se 0.0443 0.2500 0.8634
12 Se 0.9557 0.7500 0.1366

Values from the calculation:
For the total energy, the calculation gives -5.6814 eV/atom. The value obtained for the total magnetization is 8.48 μB/cell.


# 4
Crystalline SrPuCu at its relaxed geometry. Source: OQMD, functional GGA-PBE.

Lattice parameters (Å, degrees): 4.9625 4.9625 4.9625 60.00 60.00 60.00
Element x y z (fractional)
1 Sr 0.0000 0.0000 0.0000
2 Pu 0.5000 0.5000 0.5000
3 Cu 0.7500 0.7500 0.7500

Values from the calculation:
For the total energy, the calculation gives -6.1397 eV/atom. The value obtained for the total magnetization is 6.71 μB/cell.


# 5
Crystalline PuTaCu at its relaxed geometry. Source: OQMD, functional GGA-PBE.

Lattice parameters (Å, degrees): 4.3525 4.3525 4.3525 60.00 60.00 60.00
Element x y z (fractional)
1 Pu 0.0000 0.0000 0.0000
2 Ta 0.5000 0.5000 0.5000
3 Cu 0.2500 0.2500 0.2500

Values from the calculation:
For the total energy, the calculation gives -8.6646 eV/atom. Its energy above the most stable polymorph in this dataset is 0 kJ/mol of formula units. The value obtained for the total magnetization is 0.07 μB/cell. The calculation puts the formation energy at 1.23 eV/atom.


# 6
Crystalline PuCuTc at its relaxed geometry. Source: OQMD, functional GGA-PBE.

Lattice parameters (Å, degrees): 4.2426 4.2426 4.2426 60.00 60.00 60.00
Element x y z (fractional)
1 Pu 0.0000 0.0000 0.0000
2 Cu 0.2500 0.2500 0.2500
3 Tc 0.5000 0.5000 0.5000

Values from the calculation:
For the total energy, the calculation gives -8.8146 eV/atom. Its energy above the most stable polymorph in this dataset is 0 kJ/mol of formula units. The value obtained for the total magnetization is 3.72 μB/cell. The calculation puts the formation energy at 0.59 eV/atom.


# 7
Crystalline PuCuTc at its relaxed geometry. Source: OQMD, functional GGA-PBE.

Lattice parameters (Å, degrees): 4.2858 4.2858 4.2858 60.00 60.00 60.00
Element x y z (fractional)
1 Pu 0.0000 0.0000 0.0000
2 Cu 0.7500 0.7500 0.7500
3 Tc 0.2500 0.2500 0.2500

Values from the calculation:
For the total energy, the calculation gives -8.2048 eV/atom. Its energy above the most stable polymorph in this dataset is 177 kJ/mol of formula units. The value obtained for the total magnetization is 0.01 μB/cell. The calculation puts the formation energy at 1.20 eV/atom.


# 8
Crystalline PuThCu at its relaxed geometry. Source: OQMD, functional GGA-PBE.

Lattice parameters (Å, degrees): 4.6957 4.6957 4.6957 60.00 60.00 60.00
Element x y z (fractional)
1 Pu 0.0000 0.0000 0.0000
2 Th 0.5000 0.5000 0.5000
3 Cu 0.2500 0.2500 0.2500

Values from the calculation:
For the total energy, the calculation gives -8.1104 eV/atom. Its energy above the most stable polymorph in this dataset is 0 kJ/mol of formula units. The value obtained for the total magnetization is 5.88 μB/cell. The calculation puts the formation energy at 0.31 eV/atom.


# 9
Crystalline PuUCu at its relaxed geometry. Source: OQMD, functional GGA-PBE.

Lattice parameters (Å, degrees): 4.2524 4.2524 4.2524 60.00 60.00 60.00
Element x y z (fractional)
1 Pu 0.0000 0.0000 0.0000
2 U 0.7500 0.7500 0.7500
3 Cu 0.2500 0.2500 0.2500

Values from the calculation:
For the total energy, the calculation gives -9.2063 eV/atom. Its energy above the most stable polymorph in this dataset is 0 kJ/mol of formula units. The value obtained for the total magnetization is 1.40 μB/cell. The calculation puts the formation energy at 0.51 eV/atom.


# 10
Crystalline PuCuW at its relaxed geometry. Source: OQMD, functional GGA-PBE.

Lattice parameters (Å, degrees): 4.2910 4.2910 4.2910 60.00 60.00 60.00
Element x y z (fractional)
1 Pu 0.0000 0.0000 0.0000
2 Cu 0.2500 0.2500 0.2500
3 W 0.5000 0.5000 0.5000

Values from the calculation:
For the total energy, the calculation gives -9.3020 eV/atom. Its energy above the most stable polymorph in this dataset is 0 kJ/mol of formula units. The value obtained for the total magnetization is 4.16 μB/cell. The calculation puts the formation energy at 0.97 eV/atom.


# 11
Crystalline PuCuW at its relaxed geometry. Source: OQMD, functional GGA-PBE.

Lattice parameters (Å, degrees): 4.3336 4.3336 4.3336 60.00 60.00 60.00
Element x y z (fractional)
1 Pu 0.0000 0.0000 0.0000
2 Cu 0.7500 0.7500 0.7500
3 W 0.2500 0.2500 0.2500

Values from the calculation:
For the total energy, the calculation gives -8.6482 eV/atom. Its energy above the most stable polymorph in this dataset is 189 kJ/mol of formula units. The value obtained for the total magnetization is 0.00 μB/cell. The calculation puts the formation energy at 1.62 eV/atom.


# 12
Crystalline YPuCu at its relaxed geometry. Source: OQMD, functional GGA-PBE.

Lattice parameters (Å, degrees): 4.6955 4.6955 4.6955 60.00 60.00 60.00
Element x y z (fractional)
1 Y 0.0000 0.0000 0.0000
2 Pu 0.5000 0.5000 0.5000
3 Cu 0.7500 0.7500 0.7500

Values from the calculation:
For the total energy, the calculation gives -7.8432 eV/atom. Its energy above the most stable polymorph in this dataset is 0 kJ/mol of formula units. The value obtained for the total magnetization is 6.54 μB/cell. The calculation puts the formation energy at 0.26 eV/atom.


# 13
Crystalline Rb2Cu at its relaxed geometry. Source: OQMD, functional GGA-PBE.

Lattice parameters (Å, degrees): 7.5427 7.5427 7.5427 60.00 60.00 60.00
Element x y z (fractional)
1 Rb 0.0000 0.0000 0.0000
2 Rb 0.0000 0.0000 0.5000
3 Rb 0.0000 0.5000 0.0000
4 Rb 0.5000 0.0000 0.0000
5 Cu 0.3750 0.3750 0.3750
6 Cu 0.6250 0.6250 0.6250

Values from the calculation:
For the total energy, the calculation gives -1.1552 eV/atom. Its energy above the most stable polymorph in this dataset is 105 kJ/mol of formula units.


# 14
Crystalline RbCu at its relaxed geometry. Source: OQMD, functional GGA-PBE.

Lattice parameters (Å, degrees): 4.5273 4.5273 4.3732 90.00 90.00 120.00
Element x y z (fractional)
1 Rb 0.0000 0.0000 0.0000
2 Cu 0.3333 0.6667 0.5000

Values from the calculation:
For the total energy, the calculation gives -1.7805 eV/atom.


# 15
Crystalline RbCu at its relaxed geometry. Source: OQMD, functional GGA-PBE.

Lattice parameters (Å, degrees): 4.9319 4.9319 4.9319 60.00 60.00 60.00
Element x y z (fractional)
1 Rb 0.0000 0.0000 0.0000
2 Cu 0.5000 0.5000 0.5000

Values from the calculation:
For the total energy, the calculation gives -1.8187 eV/atom.


# 16
Crystalline RbCu at its relaxed geometry. Source: OQMD, functional GGA-PBE.

Lattice parameters (Å, degrees): 5.2635 5.2635 5.2635 60.00 60.00 60.00
Element x y z (fractional)
1 Rb 0.0000 0.0000 0.0000
2 Cu 0.2500 0.2500 0.2500

Values from the calculation:
For the total energy, the calculation gives -1.6855 eV/atom.


# 17
Crystalline Rb2Cu at its relaxed geometry. Source: OQMD, functional GGA-PBE.

Lattice parameters (Å, degrees): 10.4437 10.4437 10.4437 60.00 60.00 60.00
Element x y z (fractional)
1 Rb 0.0000 0.0000 0.0000
2 Rb 0.0000 0.0000 0.5000
3 Rb 0.0000 0.5000 0.0000
4 Rb 0.5000 0.0000 0.0000
5 Cu 0.1250 0.1250 0.1250
6 Cu 0.8750 0.8750 0.8750

Values from the calculation:
For the total energy, the calculation gives -1.2601 eV/atom. Its energy above the most stable polymorph in this dataset is 75 kJ/mol of formula units.


# 18
Crystalline Rb2Cu at its relaxed geometry. Source: OQMD, functional GGA-PBE.

Lattice parameters (Å, degrees): 5.9292 5.9292 5.9292 60.00 60.00 60.00
Element x y z (fractional)
1 Rb 0.2500 0.2500 0.2500
2 Rb 0.7500 0.7500 0.7500
3 Cu 0.0000 0.0000 0.0000

Values from the calculation:
For the total energy, the calculation gives -1.5178 eV/atom. Its energy above the most stable polymorph in this dataset is 0 kJ/mol of formula units.


# 19
Crystalline RbCuRe at its relaxed geometry. Source: OQMD, functional GGA-PBE.

Lattice parameters (Å, degrees): 4.8593 4.8593 4.8593 60.00 60.00 60.00
Element x y z (fractional)
1 Rb 0.0000 0.0000 0.0000
2 Cu 0.2500 0.2500 0.2500
3 Re 0.5000 0.5000 0.5000

Values from the calculation:
For the total energy, the calculation gives -3.5071 eV/atom. Its energy above the most stable polymorph in this dataset is 0 kJ/mol of formula units. The value obtained for the total magnetization is 3.69 μB/cell.


# 20
Crystalline RbCuReS3 at its relaxed geometry. Source: OQMD, functional GGA-PBE.

Lattice parameters (Å, degrees): 7.6833 7.6833 9.3978 90.00 90.00 152.63
Element x y z (fractional)
1 Rb 0.2495 0.7505 0.7500
2 Rb 0.7505 0.2495 0.2500
3 Cu 0.0336 0.9664 0.2500
4 Cu 0.9664 0.0336 0.7500
5 Re 0.5000 0.5000 0.0000
6 Re 0.5000 0.5000 0.5000
7 S 0.1085 0.8915 0.0418
8 S 0.1085 0.8915 0.4582
9 S 0.4389 0.5611 0.2500
10 S 0.5611 0.4389 0.7500
11 S 0.8915 0.1085 0.5418
12 S 0.8915 0.1085 0.9582

Values from the calculation:
For the total energy, the calculation gives -5.3183 eV/atom. The value obtained for the total magnetization is 4.42 μB/cell.